# 1
{
  "formula": "PrDy2Al3Ge2Pt",
  "functional": "GGA-PBE",
  "state": "relaxed",
  "lattice": [[4.2713, 0.0000, 0.0000], [0.0000, 6.1282, 3.5434], [0.0000, -6.1282, 3.5434]],
  "species": ["Al", "Al", "Al", "Dy", "Dy", "Ge", "Ge", "Pr", "Pt"],
  "frac_coords": [[0.5000, 0.9980, 0.2291], [0.5000, 0.7699, 0.7699], [0.5000, 0.2291, 0.9980], [0.0000, 0.5877, 0.0025], [0.0000, 0.0025, 0.5877], [0.5000, 0.6766, 0.3313], [0.5000, 0.3313, 0.6766], [0.0000, 0.4163, 0.4163], [0.0000, 0.9886, 0.9886]],
  "dft_energy_ev_per_cell": -48.4,
  "sg": "Amm2 (38)"
}

# 2
{
  "formula": "TbDyAl3Ge2",
  "functional": "GGA-PBE",
  "state": "relaxed",
  "lattice": [[5.1515, -2.0409, 0.0000], [5.1515, 2.0409, 0.0000], [-1.1902, 0.0000, 6.6554]],
  "species": ["Al", "Al", "Al", "Dy", "Ge", "Ge", "Tb"],
  "frac_coords": [[0.6972, 0.6972, 0.3761], [0.0003, 0.0003, 0.5004], [0.3026, 0.3026, 0.6246], [0.6167, 0.6167, 0.8165], [0.0994, 0.0994, 0.1415], [0.9005, 0.9005, 0.8577], [0.3833, 0.3833, 0.1833]],
  "dft_energy_ev_per_cell": -33.5,
  "sg": "Cm (8)"
}

# 3
{
  "formula": "DyTmAl3Ge2",
  "functional": "GGA-PBE",
  "state": "relaxed",
  "lattice": [[5.1112, -2.0297, 0.0000], [5.1112, 2.0297, 0.0000], [-1.1434, 0.0000, 6.6297]],
  "species": ["Al", "Al", "Al", "Dy", "Ge", "Ge", "Tm"],
  "frac_coords": [[0.6978, 0.6978, 0.3752], [0.9993, 0.9993, 0.4988], [0.3027, 0.3027, 0.6230], [0.6162, 0.6162, 0.8167], [0.1003, 0.1003, 0.1422], [0.8999, 0.8999, 0.8603], [0.3838, 0.3838, 0.1837]],
  "dft_energy_ev_per_cell": -33.2,
  "sg": "Cm (8)"
}

# 4
{
  "formula": "Dy3Al2Ni6H9",
  "functional": "GGA-PBE",
  "state": "relaxed",
  "lattice": [[-3.9824, -6.8502, -0.2557], [-4.0723, 5.2650, 4.3064], [0.9519, 2.7797, -7.3632]],
  "species": ["Al", "Al", "Al", "Al", "Dy", "Dy", "Dy", "Dy", "Dy", "Dy", "H", "H", "H", "H", "H", "H", "H", "H", "H", "H", "H", "H", "H", "H", "H", "H", "H", "H", "Ni", "Ni", "Ni", "Ni", "Ni", "Ni", "Ni", "Ni", "Ni", "Ni", "Ni", "Ni"],
  "frac_coords": [[0.5000, 0.0000, 0.0000], [0.0000, 0.5000, 0.0000], [0.0000, 0.0000, 0.5000], [0.5000, 0.5000, 0.5000], [0.2696, 0.2696, 0.0000], [0.7304, 0.7304, 0.0000], [0.2696, 0.0000, 0.2696], [0.0000, 0.2696, 0.2696], [0.7304, 0.0000, 0.7304], [0.0000, 0.7304, 0.7304], [0.0000, 0.0000, 0.0000], [0.2651, 0.0000, 0.0000], [0.7349, 0.0000, 0.0000], [0.0000, 0.2651, 0.0000], [0.5000, 0.5000, 0.0000], [0.0000, 0.7349, 0.0000], [0.7500, 0.5000, 0.2500], [0.5000, 0.7500, 0.2500], [0.0000, 0.0000, 0.2651], [0.2651, 0.2651, 0.2651], [0.5000, 0.0000, 0.5000], [0.7500, 0.2500, 0.5000], [0.0000, 0.5000, 0.5000], [0.2500, 0.7500, 0.5000], [0.0000, 0.0000, 0.7349], [0.7349, 0.7349, 0.7349], [0.5000, 0.2500, 0.7500], [0.2500, 0.5000, 0.7500], [0.6620, 0.3380, 0.0000], [0.3380, 0.6620, 0.0000], [0.6620, 0.6620, 0.3240], [0.6620, 0.0000, 0.3380], [0.6760, 0.3380, 0.3380], [0.0000, 0.6620, 0.3380], [0.3380, 0.6760, 0.3380], [0.3380, 0.0000, 0.6620], [0.6620, 0.3240, 0.6620], [0.0000, 0.3380, 0.6620], [0.3240, 0.6620, 0.6620], [0.3380, 0.3380, 0.6760]],
  "dft_energy_ev_per_cell": -186.3,
  "sg": "Im-3m (229)"
}

# 5
{
  "formula": "DyHfAl",
  "functional": "GGA-PBE",
  "state": "relaxed",
  "lattice": [[0.0000, 3.4592, 3.4592], [3.4592, 0.0000, 3.4592], [3.4592, 3.4592, 0.0000]],
  "species": ["Al", "Dy", "Hf"],
  "frac_coords": [[0.2500, 0.2500, 0.2500], [0.7500, 0.7500, 0.7500], [0.0000, 0.0000, 0.0000]],
  "dft_energy_ev_per_cell": -16.3,
  "sg": "F-43m (216)"
}

# 6
{
  "formula": "DyHfAl4Ni2",
  "functional": "GGA-PBE",
  "state": "relaxed",
  "lattice": [[-0.4608, -1.3081, -6.5151], [-4.2408, 3.0994, -0.3223], [-0.7594, 5.1156, -0.9734]],
  "species": ["Hf", "Ni", "Ni", "Al", "Al", "Al", "Al", "Dy"],
  "frac_coords": [[0.5000, 0.5667, 0.5667], [0.5000, 0.2922, 0.2922], [0.0000, 0.7137, 0.7137], [0.2055, 0.1439, 0.1439], [0.7945, 0.1439, 0.1439], [0.3064, 0.8533, 0.8533], [0.6936, 0.8533, 0.8533], [0.0000, 0.4330, 0.4330]],
  "dft_energy_ev_per_cell": -45.5,
  "sg": "Amm2 (38)"
}

# 7
{
  "formula": "Dy2Al5Hg",
  "functional": "GGA-PBE",
  "state": "relaxed",
  "lattice": [[4.6539, 0.0000, 0.0000], [0.0000, 3.2356, 5.3928], [0.0000, -3.2356, 5.3928]],
  "species": ["Al", "Al", "Al", "Al", "Al", "Dy", "Dy", "Hg"],
  "frac_coords": [[0.0000, 0.7034, 0.1398], [0.5000, 0.8552, 0.2866], [0.0000, 0.1398, 0.7034], [0.5000, 0.8486, 0.8486], [0.5000, 0.2866, 0.8552], [0.5000, 0.3434, 0.3434], [0.0000, 0.6598, 0.6598], [0.0000, 0.1632, 0.1632]],
  "dft_energy_ev_per_cell": -31.2,
  "sg": "Amm2 (38)"
}

# 8
{
  "formula": "DyTm2Mg3Al2Hg",
  "functional": "GGA-PBE",
  "state": "relaxed",
  "lattice": [[4.5037, 0.0000, 0.0000], [0.0000, 6.3837, 3.6639], [0.0000, -6.3837, 3.6639]],
  "species": ["Al", "Al", "Dy", "Hg", "Mg", "Mg", "Mg", "Tm", "Tm"],
  "frac_coords": [[0.5000, 0.6668, 0.3315], [0.5000, 0.3315, 0.6668], [0.0000, 0.5733, 0.5733], [0.0000, 0.0030, 0.0030], [0.5000, 0.7554, 0.0000], [0.5000, 0.2451, 0.2451], [0.5000, 0.0000, 0.7554], [0.0000, 0.9992, 0.4256], [0.0000, 0.4256, 0.9992]],
  "dft_energy_ev_per_cell": -29.1,
  "sg": "Amm2 (38)"
}

# 9
{
  "formula": "DyY2Mg3Al2Hg",
  "functional": "GGA-PBE",
  "state": "relaxed",
  "lattice": [[-1.0117, -2.6168, -3.5315], [-7.0502, -0.3392, 2.2711], [2.1538, 5.3914, -4.6121]],
  "species": ["Al", "Al", "Dy", "Hg", "Mg", "Mg", "Mg", "Y", "Y"],
  "frac_coords": [[0.5000, 0.6663, 0.3335], [0.5000, 0.3335, 0.6663], [0.0000, 0.4259, 0.4259], [0.0000, 0.0005, 0.0005], [0.5000, 0.2443, 0.0001], [0.5000, 0.0001, 0.2443], [0.5000, 0.7555, 0.7555], [0.0000, 0.5738, 0.0000], [0.0000, 0.0000, 0.5738]],
  "dft_energy_ev_per_cell": -33.4,
  "sg": "Amm2 (38)"
}

# 10
{
  "formula": "DyHoAl4",
  "functional": "GGA-PBE",
  "state": "relaxed",
  "lattice": [[2.0418, -9.7521, 0.0000], [2.0418, 9.7521, 0.0000], [0.0000, 0.0000, 6.5025]],
  "species": ["Al", "Al", "Al", "Al", "Al", "Al", "Al", "Al", "Dy", "Dy", "Ho", "Ho"],
  "frac_coords": [[0.5000, 0.5000, 0.0000], [0.6427, 0.3573, 0.0449], [0.0717, 0.9283, 0.2500], [0.6427, 0.3573, 0.4551], [0.5000, 0.5000, 0.5000], [0.3573, 0.6427, 0.5449], [0.9283, 0.0717, 0.7500], [0.3573, 0.6427, 0.9551], [0.9130, 0.0870, 0.2500], [0.0870, 0.9130, 0.7500], [0.2356, 0.7644, 0.2500], [0.7644, 0.2356, 0.7500]],
  "dft_energy_ev_per_cell": -53.2,
  "sg": "Cmcm (63)"
}

# 11
{
  "formula": "DyHoAl4",
  "functional": "GGA-PBE",
  "state": "relaxed",
  "lattice": [[4.3019, 0.0000, 0.0000], [0.0000, 2.1671, 6.7013], [0.0000, -2.1671, 6.7013]],
  "species": ["Al", "Al", "Al", "Al", "Dy", "Ho"],
  "frac_coords": [[0.0000, 0.0005, 0.0005], [0.5000, 0.1626, 0.1626], [0.5000, 0.5005, 0.5005], [0.5000, 0.8361, 0.8361], [0.0000, 0.3450, 0.3450], [0.0000, 0.6552, 0.6552]],
  "dft_energy_ev_per_cell": -26.4,
  "sg": "Amm2 (38)"
}

# 12
{
  "formula": "Dy2HoAl",
  "functional": "GGA-PBE",
  "state": "relaxed",
  "lattice": [[5.3425, 0.0000, 0.0000], [0.0000, 3.4969, 5.8572], [0.0000, -3.4969, 5.8572]],
  "species": ["Al", "Al", "Dy", "Dy", "Dy", "Dy", "Ho", "Ho"],
  "frac_coords": [[0.5000, 0.7118, 0.1329], [0.5000, 0.1329, 0.7118], [0.5000, 0.1760, 0.1760], [0.0000, 0.8397, 0.3152], [0.0000, 0.8272, 0.8272], [0.0000, 0.3152, 0.8397], [0.0000, 0.3524, 0.3524], [0.5000, 0.6449, 0.6449]],
  "dft_energy_ev_per_cell": -35.7,
  "sg": "Amm2 (38)"
}

# 13
{
  "formula": "DyHo2Al5",
  "functional": "GGA-PBE",
  "state": "relaxed",
  "lattice": [[-0.8525, -3.1532, -3.5398], [5.8532, -2.3724, 0.7036], [0.7045, -4.7993, 4.1054]],
  "species": ["Al", "Al", "Al", "Al", "Al", "Dy", "Ho", "Ho"],
  "frac_coords": [[0.0000, 0.6980, 0.1286], [0.5000, 0.8462, 0.3076], [0.0000, 0.1286, 0.6980], [0.5000, 0.3076, 0.8462], [0.5000, 0.8534, 0.8534], [0.0000, 0.1620, 0.1620], [0.5000, 0.3522, 0.3522], [0.0000, 0.6521, 0.6521]],
  "dft_energy_ev_per_cell": -34.7,
  "sg": "Amm2 (38)"
}

# 14
{
  "formula": "DyHo2Al",
  "functional": "GGA-PBE",
  "state": "relaxed",
  "lattice": [[5.3082, 0.0000, 0.0000], [0.0000, 3.4618, 5.9339], [0.0000, -3.4618, 5.9339]],
  "species": ["Al", "Al", "Dy", "Dy", "Ho", "Ho", "Ho", "Ho"],
  "frac_coords": [[0.5000, 0.6765, 0.1706], [0.5000, 0.1706, 0.6765], [0.0000, 0.3404, 0.3404], [0.5000, 0.6600, 0.6600], [0.5000, 0.1604, 0.1604], [0.0000, 0.8271, 0.3260], [0.0000, 0.3260, 0.8271], [0.0000, 0.8390, 0.8390]],
  "dft_energy_ev_per_cell": -35.6,
  "sg": "Amm2 (38)"
}

# 15
{
  "formula": "Dy5Ho2Al",
  "functional": "GGA-PBE",
  "state": "relaxed",
  "lattice": [[-1.1175, 5.2656, -1.1316], [-5.5962, -1.9945, -3.7544], [-6.2644, -0.6597, 3.1166]],
  "species": ["Al", "Dy", "Dy", "Dy", "Dy", "Dy", "Ho", "Ho"],
  "frac_coords": [[0.0000, 0.8332, 0.8332], [0.5000, 0.6715, 0.1570], [0.5000, 0.1665, 0.1665], [0.0000, 0.8408, 0.3299], [0.5000, 0.1570, 0.6715], [0.0000, 0.3299, 0.8408], [0.0000, 0.3297, 0.3297], [0.5000, 0.6714, 0.6714]],
  "dft_energy_ev_per_cell": -36.1,
  "sg": "Amm2 (38)"
}

# 16
{
  "formula": "DyHoAl6",
  "functional": "GGA-PBE",
  "state": "relaxed",
  "lattice": [[6.2554, 0.0000, 0.0000], [-3.1277, 5.4174, 0.0000], [0.0000, 0.0000, 4.6126]],
  "species": ["Al", "Al", "Al", "Al", "Al", "Al", "Dy", "Ho"],
  "frac_coords": [[0.5188, 0.0376, 0.0000], [0.5188, 0.4812, 0.0000], [0.9624, 0.4812, 0.0000], [0.3717, 0.1858, 0.5000], [0.8142, 0.1858, 0.5000], [0.8142, 0.6283, 0.5000], [0.0000, 0.0000, 0.0000], [0.3333, 0.6667, 0.5000]],
  "dft_energy_ev_per_cell": -35.1,
  "sg": "P-6m2 (187)"
}

# 17
{
  "formula": "Dy2HoAl",
  "functional": "GGA-PBE",
  "state": "relaxed",
  "lattice": [[-0.0654, 3.1613, 6.0473], [-2.2760, -6.4107, -0.5395], [4.8633, -1.8107, 0.9992]],
  "species": ["Al", "Al", "Dy", "Dy", "Dy", "Dy", "Ho", "Ho"],
  "frac_coords": [[0.1666, 0.8334, 0.2500], [0.8334, 0.1666, 0.7500], [0.1512, 0.3252, 0.2500], [0.6748, 0.8488, 0.2500], [0.3252, 0.1512, 0.7500], [0.8488, 0.6748, 0.7500], [0.6760, 0.3240, 0.2500], [0.3240, 0.6760, 0.7500]],
  "dft_energy_ev_per_cell": -36.6,
  "sg": "Cmcm (63)"
}

# 18
{
  "formula": "Dy2HoAl5",
  "functional": "GGA-PBE",
  "state": "relaxed",
  "lattice": [[4.7969, 0.0000, 0.0000], [0.0000, 3.3056, 5.4627], [0.0000, -3.3056, 5.4627]],
  "species": ["Al", "Al", "Al", "Al", "Al", "Dy", "Dy", "Ho"],
  "frac_coords": [[0.5000, 0.1432, 0.1432], [0.5000, 0.6948, 0.1559], [0.0000, 0.8676, 0.3029], [0.5000, 0.1559, 0.6948], [0.0000, 0.3029, 0.8676], [0.0000, 0.3449, 0.3449], [0.5000, 0.6509, 0.6509], [0.0000, 0.8397, 0.8397]],
  "dft_energy_ev_per_cell": -34.9,
  "sg": "Amm2 (38)"
}

# 19
{
  "formula": "DyHo2Al",
  "functional": "GGA-PBE",
  "state": "relaxed",
  "lattice": [[3.4023, -5.8982, 0.0000], [3.4023, 5.8982, 0.0000], [0.0000, 0.0000, 5.2804]],
  "species": ["Al", "Al", "Dy", "Dy", "Ho", "Ho", "Ho", "Ho"],
  "frac_coords": [[0.3339, 0.6661, 0.2500], [0.6661, 0.3339, 0.7500], [0.8252, 0.1748, 0.2500], [0.1748, 0.8252, 0.7500], [0.3491, 0.1749, 0.2500], [0.8251, 0.6509, 0.2500], [0.1749, 0.3491, 0.7500], [0.6509, 0.8251, 0.7500]],
  "dft_energy_ev_per_cell": -36.6,
  "sg": "Cmcm (63)"
}

# 20
{
  "formula": "DyHoAl",
  "functional": "GGA-PBE",
  "state": "relaxed",
  "lattice": [[3.5727, -3.3086, -1.3661], [0.3382, -4.4682, 2.3447], [-1.2805, -4.2400, -2.4412]],
  "species": ["Al", "Dy", "Ho"],
  "frac_coords": [[0.7500, 0.7500, 0.7500], [0.2500, 0.2500, 0.2500], [0.0000, 0.0000, 0.0000]],
  "dft_energy_ev_per_cell": -11.4,
  "sg": "F-43m (216)"
}